The following is a DFT calculation (PBE+U) of crystalline CrReF2 at its relaxed geometry.

Its relative energy among the computed polymorphs is 0.4313 eV per atom. As for the mass density: 8.52 Mg/m³.

The structure belongs to space group R-3m (No. 166, hexagonal axes); the cell edges are 2.7551, 2.7551 and 24.5551 Å and the angles 90.00°, 90.00° and 120.00°. The distinct sites, in fractional coordinates, are Cr at (0.0000, 0.0000, 0.0000), Re at (0.0000, 0.0000, 0.5000) and F at (0.0000, 0.0000, 0.0791).